{"formula": "CoPO4", "functional": "GGA+U", "state": "relaxed", "magmom_total_mub_per_cell": 28.268, "total_energy_ha_per_atom": -0.2426, "cell": [[9.343, 0.026, 0.095], [8.031, 4.774, 0.095], [6.856, 1.894, 13.616]], "species": ["Co", "Co", "Co", "Co", "Co", "Co", "Co", "Co", "P", "P", "P", "P", "P", "P", "P", "P", "O", "O", "O", "O", "O", "O", "O", "O", "O", "O", "O", "O", "O", "O", "O", "O", "O", "O", "O", "O", "O", "O", "O", "O", "O", "O", "O", "O", "O", "O", "O", "O"], "fractional_positions": [[0.406, 0.795, 0.025], [0.205, 0.594, 0.475], [0.594, 0.205, 0.975], [0.000, 0.500, 0.000], [0.795, 0.406, 0.525], [0.659, 0.341, 0.750], [0.341, 0.659, 0.250], [0.500, 0.000, 0.500], [0.476, 0.948, 0.139], [0.816, 0.221, 0.377], [0.524, 0.052, 0.861], [0.221, 0.816, 0.877], [0.948, 0.476, 0.639], [0.052, 0.524, 0.361], [0.184, 0.779, 0.623], [0.779, 0.184, 0.123], [0.199, 0.296, 0.901], [0.707, 0.143, 0.072], [0.296, 0.199, 0.401], [0.614, 0.245, 0.449], [0.659, 0.787, 0.946], [0.689, 0.428, 0.282], [0.755, 0.386, 0.051], [0.905, 0.111, 0.859], [0.386, 0.755, 0.551], [0.857, 0.293, 0.428], [0.637, 0.109, 0.867], [0.002, 0.402, 0.739], [0.293, 0.857, 0.928], [0.111, 0.905, 0.359], [0.801, 0.704, 0.099], [0.363, 0.891, 0.133], [0.402, 0.002, 0.239], [0.245, 0.614, 0.949], [0.109, 0.637, 0.367], [0.998, 0.598, 0.261], [0.889, 0.095, 0.641], [0.787, 0.659, 0.446], [0.095, 0.889, 0.141], [0.428, 0.689, 0.782], [0.143, 0.707, 0.572], [0.704, 0.801, 0.599], [0.598, 0.998, 0.761], [0.213, 0.341, 0.554], [0.341, 0.213, 0.054], [0.572, 0.311, 0.218], [0.311, 0.572, 0.718], [0.891, 0.363, 0.633]]}

{"formula": "CoP2O7", "functional": "GGA+U", "state": "relaxed", "magmom_total_mub_per_cell": 5.060, "total_energy_ha_per_atom": -0.2451, "cell": [[-4.175, -2.947, 1.010], [2.915, -0.995, 4.200], [-2.085, 2.939, 2.836]], "species": ["Co", "P", "P", "O", "O", "O", "O", "O", "O", "O"], "fractional_positions": [[0.058, 0.942, 0.500], [0.205, 0.395, 0.912], [0.605, 0.795, 0.088], [0.490, 0.510, 0.000], [0.030, 0.252, 0.199], [0.748, 0.970, 0.801], [0.096, 0.621, 0.767], [0.801, 0.736, 0.303], [0.379, 0.904, 0.233], [0.264, 0.199, 0.697]]}